Pr3Dy4Y3 | PBE | optimized geometry

```
data_Pr3Dy4Y3
_chemical_formula_sum 'Pr6 Dy8 Y6'
_symmetry_space_group_name_H-M 'A m m 2'
_symmetry_Int_Tables_number 38
_cell_length_a 3.720
_cell_length_b 13.399
_cell_length_c 13.492
_cell_angle_alpha 90.00
_cell_angle_beta 90.00
_cell_angle_gamma 90.00
loop_
_symmetry_equiv_pos_as_xyz
'x,y,z'
'-x,-y,z'
'-x,y,z'
'x,-y,z'
'x,y+1/2,z+1/2'
'-x,-y+1/2,z+1/2'
'-x,y+1/2,z+1/2'
'x,-y+1/2,z+1/2'
loop_
_atom_site_label
_atom_site_type_symbol
_atom_site_fract_x
_atom_site_fract_y
_atom_site_fract_z
Pr1 Pr 0.000 0.000 0.000
Pr2 Pr 0.000 0.174 0.672
Dy1 Dy 0.500 0.000 0.546
Dy2 Dy 0.500 0.000 0.799
Dy3 Dy 0.500 0.125 0.175
Y1 Y 0.000 0.000 0.346
Y2 Y 0.500 0.246 0.421
```

Computed properties:
ΔE_f: 1.98 kcal/mol of atoms